Density functional theory data (PBEsol) for crystalline Al2SbP at its relaxed geometry.

a b c (Å): 3.587 3.587 6.506
angles (deg): 90.00 90.00 90.00
Fractional coordinates of all 4 atoms:
Al 0.000 0.000 0.000
Al 0.500 0.500 0.404
Sb 0.500 0.500 0.830
P 0.000 0.000 0.359

## Properties
Size of the total moment (μB/cell): 0.00
E_form (uncorrected) (meV/atom): -101
Crystal system: tetragonal
Total DFT energy (no corrections) (eV/atom): -4.734

Density functional theory data (PBEsol) for crystalline Al2SbP at its relaxed geometry.

a b c (Å): 4.032 4.032 6.629
angles (deg): 90.05 90.05 51.36
Fractional coordinates of all 4 atoms:
Al 0.000 0.000 0.000
Al 0.174 0.174 0.576
Sb 0.707 0.707 0.238
P 0.477 0.477 0.735

## Properties
Size of the total moment (μB/cell): 0.00
E_form (uncorrected) (meV/atom): -125
Crystal system: monoclinic
Total DFT energy (no corrections) (eV/atom): -4.757

Density functional theory data (PBEsol) for crystalline AlSbP at its relaxed geometry.

a b c (Å): 5.835 5.835 5.835
angles (deg): 145.89 145.89 49.02
Fractional coordinates of all 3 atoms:
Al 0.000 0.000 0.000
Sb 0.692 0.692 0.000
P 0.447 0.447 0.000

## Properties
Size of the total moment (μB/cell): 0.00
E_form (uncorrected) (meV/atom): 5
Crystal system: tetragonal
Total DFT energy (no corrections) (eV/atom): -4.809

Density functional theory data (PBEsol) for crystalline Al2Sb5P6 at its relaxed geometry.

a b c (Å): 9.322 18.096 3.839
angles (deg): 90.00 90.00 90.00
Fractional coordinates of all 26 atoms:
Al 0.228 0.120 0.000
Al 0.272 0.620 0.000
Al 0.728 0.380 0.000
Al 0.772 0.880 0.000
Sb 0.000 0.000 0.500
Sb 0.100 0.435 0.500
Sb 0.131 0.766 0.500
Sb 0.369 0.266 0.500
Sb 0.400 0.935 0.500
Sb 0.500 0.500 0.500
Sb 0.600 0.065 0.500
Sb 0.631 0.734 0.500
Sb 0.869 0.234 0.500
Sb 0.900 0.565 0.500
P 0.042 0.678 0.000
P 0.090 0.147 0.500
P 0.224 0.986 0.000
P 0.276 0.486 0.000
P 0.410 0.647 0.500
P 0.458 0.178 0.000
P 0.542 0.822 0.000
P 0.590 0.353 0.500
P 0.724 0.514 0.000
P 0.776 0.014 0.000
P 0.910 0.853 0.500
P 0.958 0.322 0.000

## Properties
Size of the total moment (μB/cell): 0.00
E_form (uncorrected) (meV/atom): 11
Crystal system: orthorhombic
Total DFT energy (no corrections) (eV/atom): -5.044

Density functional theory data (PBEsol) for crystalline Al2SbP at its relaxed geometry.

a b c (Å): 3.673 3.673 6.955
angles (deg): 105.15 105.15 59.70
Fractional coordinates of all 4 atoms:
Al 0.236 0.236 0.207
Al 0.764 0.764 0.793
Sb 0.000 0.000 0.500
P 0.500 0.500 0.000

## Properties
Size of the total moment (μB/cell): 0.00
E_form (uncorrected) (meV/atom): -154
Crystal system: monoclinic
Total DFT energy (no corrections) (eV/atom): -4.787

Density functional theory data (PBEsol) for crystalline AlSbP at its relaxed geometry.

a b c (Å): 4.503 4.503 4.503
angles (deg): 60.00 60.00 60.00
Fractional coordinates of all 3 atoms:
Al 0.000 0.000 0.000
Sb 0.500 0.500 0.500
P 0.750 0.750 0.750

## Properties
Size of the total moment (μB/cell): 0.00
E_form (uncorrected) (meV/atom): 376
Crystal system: cubic
Total DFT energy (no corrections) (eV/atom): -4.437

Density functional theory data (PBEsol) for crystalline Al2SbP at its relaxed geometry.

a b c (Å): 3.275 3.275 7.420
angles (deg): 90.00 90.00 107.81
Fractional coordinates of all 4 atoms:
Al 0.000 0.000 0.204
Al 0.000 0.000 0.796
Sb 0.500 0.500 0.500
P 0.500 0.500 0.000

## Properties
Size of the total moment (μB/cell): 0.00
E_form (uncorrected) (meV/atom): 116
Crystal system: orthorhombic
Total DFT energy (no corrections) (eV/atom): -4.517

Density functional theory data (PBEsol) for crystalline Al2SbP at its relaxed geometry.

a b c (Å): 5.935 5.935 5.935
angles (deg): 142.57 142.57 53.97
Fractional coordinates of all 4 atoms:
Al 0.000 0.000 0.000
Al 0.750 0.250 0.500
Sb 0.250 0.750 0.500
P 0.500 0.500 0.000

## Properties
Size of the total moment (μB/cell): 0.00
E_form (uncorrected) (meV/atom): 236
Crystal system: tetragonal
Total DFT energy (no corrections) (eV/atom): -4.397

Density functional theory data (PBEsol) for crystalline Al2SbP at its relaxed geometry.

a b c (Å): 4.719 4.719 4.663
angles (deg): 109.84 109.84 107.70
Fractional coordinates of all 4 atoms:
Al 0.000 0.500 0.000
Al 0.500 0.000 0.000
Sb 0.000 0.000 0.500
P 0.500 0.500 0.500

## Properties
Size of the total moment (μB/cell): 0.00
E_form (uncorrected) (meV/atom): 147
Crystal system: monoclinic
Total DFT energy (no corrections) (eV/atom): -4.486

Density functional theory data (PBEsol) for crystalline Al2SbP at its relaxed geometry.

a b c (Å): 3.224 3.224 7.018
angles (deg): 90.00 90.00 90.00
Fractional coordinates of all 4 atoms:
Al 0.000 0.000 0.194
Al 0.000 0.000 0.806
Sb 0.500 0.500 0.500
P 0.500 0.500 0.000

## Properties
Size of the total moment (μB/cell): 0.00
E_form (uncorrected) (meV/atom): 74
Crystal system: tetragonal
Total DFT energy (no corrections) (eV/atom): -4.559

Density functional theory data (PBEsol) for crystalline AlSb2TeP at its relaxed geometry.

a b c (Å): 5.180 5.180 5.097
angles (deg): 90.00 90.00 90.00
Fractional coordinates of all 5 atoms:
Al 0.000 0.000 0.000
Sb 0.000 0.500 0.500
Sb 0.500 0.000 0.500
Te 0.500 0.500 0.000
P 0.500 0.500 0.500

## Properties
Size of the total moment (μB/cell): 0.00
E_form (uncorrected) (meV/atom): 598
Crystal system: tetragonal
Total DFT energy (no corrections) (eV/atom): -3.906

Density functional theory data (PBEsol) for crystalline ScAlP2 at its relaxed geometry.

a b c (Å): 3.429 3.528 5.663
angles (deg): 90.00 90.00 90.00
Fractional coordinates of all 4 atoms:
Sc 0.000 0.000 0.000
Al 0.500 0.000 0.500
P 0.500 0.500 0.210
P 0.500 0.500 0.790

## Properties
Size of the total moment (μB/cell): 0.00
Crystal system: orthorhombic
Total DFT energy (no corrections) (eV/atom): -6.199
Energy of formation (eV/atom): -0.629

| no. | DOS(E_F) (states/eV/cell) |
| --- | --- |
| 1 | 1.29 |
| 2 | 0.98 |
| 3 | 0.77 |
| 4 | 6.72 |
| 5 | 1.46 |
| 6 | 1.92 |
| 7 | 2.10 |
| 8 | 1.84 |
| 9 | 1.87 |
| 10 | 1.83 |
| 11 | 4.76 |
| 12 | 1.32 |